# 1
Below is a relaxed structure of Y3Al2In2, with properties calculated at the PBE-GGA level.

Values from the calculation:
As for the formation energy: -442 meV per atom. As for the final energy: -0.1861 hartree per atom.

Geometry as extended XYZ:
```
7
Lattice="4.623 0.000 0.000 -2.311 5.220 -1.703 0.000 0.444 7.158" Properties=species:S:1:pos:R:3 pbc="T T T"
Y 0.000 3.690 1.579
In 2.311 5.040 3.382
Y 2.311 0.000 0.000
In 0.000 0.624 2.073
Al 0.000 2.422 6.108
Y 2.311 1.974 3.876
Al 2.311 3.242 -0.654
```

---

# 2
Below is a relaxed structure of Ce2MgCrN5, with properties calculated at the PBE-GGA level.

Values from the calculation:
The calculation puts the formation energy (no corrections) at -8.66 eV/f.u. As for the final energy: -0.2996 hartree per atom.

Geometry as extended XYZ:
```
18
Lattice="3.339 0.000 0.000 -1.669 6.822 0.000 0.000 0.000 9.950" Properties=species:S:1:pos:R:3 pbc="T T T"
N 0.000 0.471 0.146
N 1.669 6.351 5.121
Cr 1.669 0.654 9.332
Cr 0.000 6.167 4.356
Mg 0.000 2.751 0.238
N 0.000 4.837 0.100
N 0.000 6.727 7.761
N 0.000 4.491 3.762
N 1.669 2.331 8.737
Ce 0.000 1.942 3.176
Ce 1.669 4.880 8.151
Ce 0.000 1.633 6.729
N 0.000 3.980 6.807
N 1.669 1.984 5.075
N 1.669 2.842 1.831
N 1.669 0.095 2.786
Mg 1.669 4.071 5.213
Ce 1.669 5.189 1.754
```